Record 1
The following is a DFT calculation (PBE-GGA) of a geometry-optimized TbH6PdRu structure.

Structure (extended XYZ):
```
9
Lattice="4.695 0.000 0.000 -2.348 4.066 0.000 0.000 0.000 4.228" Properties=species:S:1:pos:R:3 pbc="T T T"
Tb 0.000 0.000 0.000
H 2.348 0.103 0.926
H 2.348 0.103 3.302
H 1.263 1.981 0.926
H 1.263 1.981 3.302
H 3.432 1.981 0.926
H 3.432 1.981 3.302
Pd 0.000 2.711 2.114
Ru 2.348 1.355 2.114
```

Computed properties:
raw total energy: -0.168 hartree per atom
mass density: 7.663 Mg/m³
N(E_F): 0.40 states/eV per atom

Record 2
The following is a DFT calculation (PBE-GGA) of a geometry-optimized Tc2HPdRu structure.

Structure (extended XYZ):
```
5
Lattice="3.903 0.000 0.000 0.000 3.903 0.000 0.000 0.000 3.941" Properties=species:S:1:pos:R:3 pbc="T T T"
Tc 0.000 1.952 0.000
Tc 1.952 0.000 0.000
H 0.000 0.000 0.000
Pd 1.952 1.952 1.971
Ru 0.000 0.000 1.971
```

Computed properties:
raw total energy: -0.279 hartree per atom
mass density: 11.186 Mg/m³
N(E_F): 0.78 states/eV per atom

Record 3
The following is a DFT calculation (PBE-GGA) of a geometry-optimized TlHPd2Ru structure.

Structure (extended XYZ):
```
5
Lattice="4.077 0.000 0.000 0.000 4.077 0.000 0.000 0.000 4.130" Properties=species:S:1:pos:R:3 pbc="T T T"
Tl 0.000 0.000 0.000
H 2.039 2.039 2.065
Pd 0.000 2.039 2.065
Pd 2.039 0.000 2.065
Ru 2.039 2.039 0.000
```

Computed properties:
raw total energy: -0.183 hartree per atom
mass density: 12.561 Mg/m³
N(E_F): 0.95 states/eV per atom

For reference, size of the total moment by record: 0.68 0.00 0.00 μB/cell.